Density functional theory data (GGA-PBE) for a relaxed structure of Tb4DyEr7.

The structure in extended XYZ format:
```
12
Lattice="5.985 -2.905 0.000 5.985 2.905 0.000 -5.972 0.000 11.084" Properties=species:S:1:pos:R:3 pbc="T T T"
Tb 0.003 0.000 3.057
Tb -1.782 0.000 9.119
Tb 7.779 0.000 1.965
Tb 5.995 0.000 8.027
Dy 2.999 0.000 5.542
Er -2.986 0.000 5.542
Er -4.371 0.000 11.071
Er 0.008 0.000 6.386
Er 4.146 0.000 2.004
Er 1.852 0.000 9.080
Er 5.990 0.000 4.698
Er 10.368 0.000 0.013
```

Density functional theory data (GGA-PBE) for a relaxed structure of TbDy12Er6.

The structure in extended XYZ format:
```
19
Lattice="5.897 3.405 5.020 -5.897 3.405 5.020 0.000 -6.809 5.020" Properties=species:S:1:pos:R:3 pbc="T T T"
Tb 0.000 0.000 0.000
Dy -1.139 -1.701 2.880
Dy -0.904 1.837 2.880
Dy -1.377 -1.525 6.263
Dy 2.042 -0.136 2.880
Dy -2.009 0.430 8.798
Dy -0.632 1.955 6.263
Dy 0.632 -1.955 8.798
Dy 2.009 -0.430 6.263
Dy -2.042 0.136 12.181
Dy 1.377 1.525 8.798
Dy 0.904 -1.837 12.181
Dy 1.139 1.701 12.181
Er -3.526 0.924 5.239
Er 0.963 -3.516 5.239
Er -2.563 -2.592 9.822
Er 2.563 2.592 5.239
Er -0.963 3.516 9.822
Er 3.526 -0.924 9.822
```

Density functional theory data (GGA-PBE) for a relaxed structure of Tb2Dy8Er.

The structure in extended XYZ format:
```
11
Lattice="8.201 -3.306 0.000 8.201 3.306 0.000 -1.199 0.000 6.493" Properties=species:S:1:pos:R:3 pbc="T T T"
Tb 2.921 0.000 1.948
Tb 12.283 0.000 4.546
Dy 6.643 1.571 0.625
Dy 3.027 0.000 5.260
Dy 8.560 1.571 5.869
Dy 6.023 0.000 3.851
Dy 9.180 0.000 2.642
Dy 6.643 -1.571 0.625
Dy 12.177 0.000 1.233
Dy 8.560 -1.571 5.869
Er -0.599 0.000 3.247
```

Density functional theory data (GGA-PBE) for a relaxed structure of Tb4Dy7Er.

The structure in extended XYZ format:
```
12
Lattice="6.466 0.000 0.000 0.915 6.695 0.000 2.043 0.359 8.776" Properties=species:S:1:pos:R:3 pbc="T T T"
Tb 1.766 2.159 2.486
Tb 4.424 6.167 6.060
Tb 5.001 0.888 2.716
Tb 7.660 4.896 6.290
Dy 2.253 2.026 8.320
Dy 2.670 5.485 3.154
Dy 3.606 2.861 5.380
Dy 3.233 0.000 0.000
Dy 5.819 4.194 3.396
Dy 6.755 1.569 5.623
Dy 7.173 5.028 0.456
Er 3.691 3.348 0.000
```

Density functional theory data (GGA-PBE) for a relaxed structure of Tb2Dy2Er.

The structure in extended XYZ format:
```
10
Lattice="9.282 0.000 0.000 0.000 9.282 0.000 0.000 0.000 3.678" Properties=species:S:1:pos:R:3 pbc="T T T"
Tb 1.598 3.043 0.000
Tb 3.043 7.684 0.000
Tb 6.239 1.598 0.000
Tb 7.684 6.239 0.000
Dy 1.177 5.818 1.839
Dy 3.464 1.177 1.839
Dy 5.818 8.105 1.839
Dy 8.105 3.464 1.839
Er 0.000 0.000 1.839
Er 4.641 4.641 1.839
```

Density functional theory data (GGA-PBE) for a relaxed structure of Tb4DyEr3.

The structure in extended XYZ format:
```
16
Lattice="11.194 0.000 0.000 0.000 7.228 0.000 0.000 0.000 6.251" Properties=species:S:1:pos:R:3 pbc="T T T"
Tb 0.000 0.911 0.000
Tb 0.000 6.313 3.135
Tb 2.790 0.911 2.089
Tb 2.807 6.317 5.214
Tb 5.597 0.915 0.010
Tb 5.597 6.317 3.125
Tb 8.387 6.317 5.214
Tb 8.404 0.911 2.089
Dy 0.000 4.510 0.010
Dy 5.597 2.718 3.135
Er 0.000 2.721 3.133
Er 2.797 2.719 5.213
Er 2.800 4.509 2.087
Er 5.597 4.507 0.008
Er 8.397 2.719 5.213
Er 8.394 4.509 2.087
```

Density functional theory data (GGA-PBE) for a relaxed structure of Tb7DyEr3.

The structure in extended XYZ format:
```
11
Lattice="7.029 0.000 0.000 -3.515 6.087 0.000 0.000 0.000 8.536" Properties=species:S:1:pos:R:3 pbc="T T T"
Tb 0.000 0.000 0.000
Tb -1.745 3.051 0.057
Tb 1.745 1.007 5.715
Tb 1.745 3.051 0.057
Tb 0.000 6.073 0.057
Tb 5.284 1.007 5.715
Tb 3.515 4.073 5.715
Dy 0.000 4.058 5.771
Er 0.000 2.030 2.888
Er -1.757 5.072 2.888
Er 1.757 5.072 2.888
```

Density functional theory data (GGA-PBE) for a relaxed structure of Tb5Dy2Er3.

The structure in extended XYZ format:
```
20
Lattice="-3.307 13.835 3.470 3.307 -13.835 3.470 3.307 13.835 -3.470" Properties=species:S:1:pos:R:3 pbc="T T T"
Tb 3.307 -5.084 1.735
Tb 0.258 5.790 0.000
Tb 0.000 0.000 1.735
Tb 3.565 8.044 0.000
Tb 3.307 5.084 1.735
Tb 0.000 8.751 1.735
Tb -0.258 5.790 3.470
Tb 0.000 0.000 5.205
Tb 3.049 8.044 3.470
Tb 0.000 18.918 1.735
Dy 5.143 2.650 0.000
Dy 1.836 11.185 0.000
Dy 1.472 2.650 3.470
Dy -1.836 11.185 3.470
Er 1.807 2.523 0.000
Er 3.307 0.000 1.735
Er 1.807 -2.523 3.470
Er 1.500 16.358 0.000
Er 0.000 13.835 1.735
Er 1.500 11.312 3.470
```

Density functional theory data (GGA-PBE) for a relaxed structure of Tb2DyEr8.

The structure in extended XYZ format:
```
11
Lattice="8.515 -3.311 0.000 8.515 3.311 0.000 -2.132 0.000 6.072" Properties=species:S:1:pos:R:3 pbc="T T T"
Tb 3.502 0.000 0.645
Tb 11.396 0.000 5.428
Dy 8.515 0.000 0.000
Er 0.505 0.000 1.485
Er 6.127 1.592 1.886
Er 3.524 0.000 4.061
Er 8.771 1.592 4.186
Er 6.127 -1.592 1.886
Er 11.374 0.000 2.011
Er 8.771 -1.592 4.186
Er 14.393 0.000 4.587
```

Density functional theory data (GGA-PBE) for a relaxed structure of Tb2Dy7Er.

The structure in extended XYZ format:
```
10
Lattice="4.311 -8.642 0.000 4.311 8.642 0.000 0.000 0.000 5.106" Properties=species:S:1:pos:R:3 pbc="T T T"
Tb 4.311 5.157 0.000
Tb 4.311 -5.157 0.000
Dy 0.000 0.000 0.000
Dy 2.759 1.850 0.000
Dy 4.311 3.372 2.553
Dy 2.759 -1.850 0.000
Dy 5.863 1.850 0.000
Dy 4.311 -3.372 2.553
Dy 5.863 -1.850 0.000
Er 4.311 0.000 2.553
```

Density functional theory data (GGA-PBE) for a relaxed structure of Tb5Dy4Er3.

The structure in extended XYZ format:
```
12
Lattice="8.005 -2.918 0.000 8.005 2.918 0.000 -4.134 0.000 8.228" Properties=species:S:1:pos:R:3 pbc="T T T"
Tb 0.000 0.000 0.000
Tb 2.693 0.000 5.052
Tb 5.579 0.000 2.454
Tb 6.296 0.000 5.774
Tb 9.182 0.000 3.176
Dy -0.527 0.000 3.617
Dy -0.197 0.000 7.226
Dy 12.072 0.000 1.001
Dy 12.402 0.000 4.611
Er 2.397 0.000 1.896
Er 8.005 0.000 0.000
Er 9.478 0.000 6.332
```

Density functional theory data (GGA-PBE) for a relaxed structure of Tb8Dy4Er3.

The structure in extended XYZ format:
```
15
Lattice="6.654 -6.357 0.000 6.654 6.357 0.000 -3.390 0.000 5.800" Properties=species:S:1:pos:R:3 pbc="T T T"
Tb 6.654 4.543 0.000
Tb 1.493 0.000 2.716
Tb -0.260 0.000 5.763
Tb 4.959 3.207 2.900
Tb 4.959 -3.207 2.900
Tb 10.178 0.000 0.037
Tb 8.426 0.000 3.084
Tb 6.654 -4.543 0.000
Dy 1.632 3.178 2.900
Dy 1.632 -3.178 2.900
Dy 6.654 0.000 0.000
Dy 4.959 0.000 2.900
Er -1.695 0.000 2.900
Er 3.327 3.178 0.000
Er 3.327 -3.178 0.000
```

What DFT formation energy values result from the calculations? In sequence: 0.291; 0.157; 0.172; 0.089; 0.098; 0.007; 0.191; 0.126; 0.192; 0.692; 0.240; 0.398 eV per atom.
What ΔE to the lowest computed polymorph values result from the calculations? In sequence: 201.7; 0.0; 0.0; 0.0; 0.0; 0.0; 51.9; 0.0; 28.9; 673.6; 222.8; 253.0 meV per atom.